# 1
Entry from Alexandria via LeMat-Bulk: a geometry-optimized La3CdO structure (PBE).

abc: 9.5376 9.5376 6.2001
angles: 90.00 90.00 132.37
Last column: nearest neighbours and their distance in Å.
Sites, in units of the cell vectors:
O1 0.6198 0.3802 0.7500  2 La 2.10
O2 0.3802 0.6198 0.2500  2 La 2.10
La1 0.4278 0.0821 0.7500  1 O 2.10
La2 0.0821 0.4278 0.2500  1 O 2.10
La3 0.9179 0.5722 0.7500  1 O 2.10
La4 0.0000 0.0000 0.0000  2 La 3.10, 2 Cd 3.34
La5 0.0000 0.0000 0.5000  2 La 3.10, 2 Cd 3.34
La6 0.5722 0.9179 0.2500  1 O 2.10
Cd1 0.8308 0.1692 0.7500  8 La 3.34-3.67, 1 O 3.68
Cd2 0.1692 0.8308 0.2500  8 La 3.34-3.67, 1 O 3.68

Properties
Fermi-level density of states	9.04	states/eV/cell
E_form (uncorrected)	-0.723	eV per atom
energy above the most stable polymorph in this dataset	56.37	kJ/mol of atoms

# 2
Entry from Alexandria via LeMat-Bulk: a geometry-optimized K2TlO3 structure (PBE).

abc: 5.6791 7.5523 7.5523
angles: 123.67 90.00 90.00
Last column: nearest neighbours and their distance in Å.
Sites, in units of the cell vectors:
K1 0.0073 0.1576 0.4870  5 O 2.66-2.93
K2 0.5073 0.5130 0.8424  5 O 2.66-2.93
K3 0.5073 0.8424 0.5130  5 O 2.66-2.93
K4 0.0073 0.4870 0.1576  5 O 2.66-2.93
O1 0.9229 0.1216 0.1216  2 Tl 2.18-2.26
O2 0.9948 0.5580 0.8439  1 Tl 2.12
O3 0.4948 0.4420 0.1561  1 Tl 2.12
O4 0.4948 0.1561 0.4420  1 Tl 2.12
O5 0.9948 0.8439 0.5580  1 Tl 2.12
O6 0.4229 0.8784 0.8784  2 Tl 2.18-2.26
Tl1 0.0307 0.8285 0.8285  4 O 2.12-2.26
Tl2 0.5307 0.1715 0.1715  4 O 2.12-2.26

Properties
Fermi-level density of states	19.45	states/eV/cell
E_form (uncorrected)	-0.865	eV per atom

# 3
Entry from Alexandria via LeMat-Bulk: a geometry-optimized CeGa2Ni6 structure (PBE).

abc: 3.4950 7.0737 7.0737
angles: 50.32 75.70 75.70
Last column: nearest neighbours and their distance in Å.
Sites, in units of the cell vectors:
Ce1 0.0000 0.0000 0.0000  4 Ni 2.57
Ga1 0.1350 0.3650 0.3650  10 Ni 2.52-2.66
Ga2 0.8650 0.6350 0.6350  10 Ni 2.52-2.66
Ni1 0.5000 0.3137 0.6863  3 Ni 2.24-2.40
Ni2 0.3128 0.9817 0.3926  4 Ni 2.40-2.47, 3 Ga 2.52-2.57
Ni3 0.3128 0.3926 0.9817  4 Ni 2.40-2.47, 3 Ga 2.52-2.57
Ni4 0.5000 0.6863 0.3137  3 Ni 2.24-2.40
Ni5 0.6872 0.0183 0.6074  4 Ni 2.40-2.47, 3 Ga 2.52-2.57
Ni6 0.6872 0.6074 0.0183  4 Ni 2.40-2.47, 3 Ga 2.52-2.57

Properties
Fermi-level density of states	8.91	states/eV/cell
calculated formation energy	-0.137	eV/atom

# 4
Entry from Alexandria via LeMat-Bulk: a geometry-optimized GdInIrRh structure (PBE).

abc: 4.7368 4.7368 4.7368
angles: 60.00 60.00 60.00
Last column: nearest neighbours and their distance in Å.
Sites, in units of the cell vectors:
In1 0.7500 0.7500 0.7500  4 Rh 2.90, 4 Ir 2.90
Ir1 0.0000 0.0000 0.0000  4 Gd 2.90, 4 In 2.90
Gd1 0.2500 0.2500 0.2500  4 Ir 2.90, 4 Rh 2.90
Rh1 0.5000 0.5000 0.5000  4 In 2.90, 4 Gd 2.90

Properties
Fermi-level density of states	0.89	states/eV/cell
calculated formation energy	-0.578	eV/atom

- Look up the Fermi-level density of states of the first one.
  9.04 states/eV/cell

Copy entry 4 word for word.
Entry from Alexandria via LeMat-Bulk: a geometry-optimized GdInIrRh structure (PBE).

abc: 4.7368 4.7368 4.7368
angles: 60.00 60.00 60.00
Last column: nearest neighbours and their distance in Å.
Sites, in units of the cell vectors:
In1 0.7500 0.7500 0.7500  4 Rh 2.90, 4 Ir 2.90
Ir1 0.0000 0.0000 0.0000  4 Gd 2.90, 4 In 2.90
Gd1 0.2500 0.2500 0.2500  4 Ir 2.90, 4 Rh 2.90
Rh1 0.5000 0.5000 0.5000  4 In 2.90, 4 Gd 2.90

Properties
Fermi-level density of states	0.89	states/eV/cell
calculated formation energy	-0.578	eV/atom

- Number 1 is which compound?
  La3CdO